# TmGa2SiNi4 (PBE, relaxed)
# Total magnetization ... 0.000 μB per formula unit
# VASP energy ... -5.3857 eV per atom
# Formation energy from raw total energies ... -0.501 eV/atom
# Density of states at the Fermi level ... 5.03 states/eV/f.u.
data_TmGa2SiNi4
_cell_length_a 4.0362
_cell_length_b 4.0362
_cell_length_c 24.0934
_cell_angle_alpha 90.00
_cell_angle_beta 90.00
_cell_angle_gamma 120.00
_space_group_name_H-M_alt 'R -3 m'
_space_group_IT_number 166
_space_group_name_Hall '-R 3 2"'
loop_
_atom_site_label
_atom_site_fract_x
_atom_site_fract_y
_atom_site_fract_z
Tm1 0.0000 0.0000 0.0000
Ga1 0.0000 0.0000 0.2479
Si1 0.0000 0.0000 0.5000
Ni1 0.0000 0.0000 0.1369
Ni2 0.0000 0.0000 0.4069

# Te2IOF (PBE, relaxed)
# Offset from the most stable computed form ... 2.84 eV per formula unit
# Total magnetization ... 0.000 μB per formula unit
# VASP energy ... -2.2702 eV per atom
# Formation energy from raw total energies ... 0.662 eV/atom
# Density of states at the Fermi level ... 9.20 states/eV/f.u.
data_Te2IOF
_cell_length_a 4.612
_cell_length_b 4.612
_cell_length_c 6.058
_cell_angle_alpha 90.00
_cell_angle_beta 90.00
_cell_angle_gamma 90.00
_space_group_name_H-M_alt 'P 4/m m m'
_space_group_IT_number 123
_space_group_name_Hall '-P 4 2'
loop_
_atom_site_label
_atom_site_fract_x
_atom_site_fract_y
_atom_site_fract_z
Te1 0.000 0.500 0.000
I1 0.000 0.000 0.500
O1 0.500 0.500 0.500
F1 0.000 0.000 0.000